10
Lattice="7.4383 0.0000 0.0000 0.0000 7.4383 0.0000 0.0000 0.0000 2.6468" Properties=species:S:1:pos:R:3 comment="YBe2Zn2 GGA-PBE relaxed" polymorph_energy_ev_per_atom=0.285 density_g_cm3=5.392 pbc="T T T"
Y 0.0000 0.0000 0.0000
Y 3.7191 3.7191 0.0000
Be 0.9351 2.7841 0.0000
Be 2.7841 6.5032 0.0000
Be 4.6542 0.9351 0.0000
Be 6.5032 4.6542 0.0000
Zn 1.1920 4.9112 1.3234
Zn 2.5271 1.1920 1.3234
Zn 4.9112 6.2462 1.3234
Zn 6.2462 2.5271 1.3234